AlGaNi4: relaxed, PBE-GGA.

Geometry as POSCAR:
```
AlGaNi4
1.0
3.3559 -1.9384 0.0000
3.3559 1.9384 0.0000
-2.2089 0.0000 6.3063
Al Ga Ni
1 1 4
Direct
0.0000 0.0000 0.0000 Al
0.5000 0.5000 0.5000 Ga
0.1253 0.1253 0.3749 Ni
0.3743 0.3743 0.1238 Ni
0.6257 0.6257 0.8762 Ni
0.8747 0.8747 0.6251 Ni
```

## Properties
DFT total energy (eV per cell): -30.40
Crystal system: monoclinic
Energy relative to the elements (eV/f.u.): -0.505